No. 1
Density functional theory data (GGA-PBE) for a relaxed structure of Ac2In3Cu.

Computed properties:
The calculation puts the density at 8.048 Mg/m³. Its volume is 1423 Å³ per cell. The total magnetization is 0.0 μB per formula unit. The calculation puts the offset from the most stable computed form at 15 meV per atom. The uncorrected energy comes out at -3.80 eV/atom. The calculation puts the formation energy at -374 meV per atom.

Cell: 8.458 9.848 17.082 Å, 90.00 90.00 90.00°
Space group Fmmm (No. 69)
One atom of each set of equivalent atoms:
Ac1 0.244 0.000 0.000 (multiplicity 8)
Ac2 0.250 0.250 0.250 (multiplicity 8)
In1 0.000 0.000 0.327 (multiplicity 8)
In2 0.000 0.243 0.087 (multiplicity 16)
Cu1 0.000 0.000 0.167 (multiplicity 8)

***

No. 2
Density functional theory data (GGA-PBE) for a relaxed structure of PuMg2Cd3.

Computed properties:
The calculation puts the density at 7.653 Mg/m³. Its volume is 137 Å³ per cell. The total magnetization is 5.9 μB per formula unit. The uncorrected energy comes out at -3.46 eV/atom. The calculation puts the formation energy at -87 meV per atom.

Cell: 3.231 3.231 13.095 Å, 90.00 90.00 90.00°
Space group P4/mmm (No. 123)
One atom of each set of equivalent atoms:
Pu1 0.000 0.000 0.000 (multiplicity 1)
Mg1 0.000 0.000 0.345 (multiplicity 2)
Cd1 0.500 0.500 0.186 (multiplicity 2)
Cd2 0.500 0.500 0.500 (multiplicity 1)